The following is a PBE calculation of a relaxed structure of DyHfPdRh, from the Alexandria database.

Geometry as CIF:
```
data_DyHfPdRh
_space_group_name_H-M_alt 'P 1'
_space_group_IT_number 1
_cell_length_a 6.762
_cell_length_b 6.762
_cell_length_c 6.762
_cell_angle_alpha 90.00
_cell_angle_beta 90.00
_cell_angle_gamma 90.00
loop_
_space_group_symop_operation_xyz
'x,y,z'
loop_
_atom_site_label
_atom_site_fract_x
_atom_site_fract_y
_atom_site_fract_z
Dy1 0.000 0.000 0.000
Dy2 0.000 0.500 0.500
Dy3 0.500 0.000 0.500
Dy4 0.500 0.500 0.000
Hf1 0.000 0.000 0.500
Hf2 0.000 0.500 0.000
Hf3 0.500 0.000 0.000
Hf4 0.500 0.500 0.500
Pd1 0.250 0.250 0.250
Pd2 0.250 0.750 0.750
Pd3 0.750 0.250 0.750
Pd4 0.750 0.750 0.250
Rh1 0.250 0.250 0.750
Rh2 0.250 0.750 0.250
Rh3 0.750 0.250 0.250
Rh4 0.750 0.750 0.750
```

Properties
Total moment, μB per cell: 0.0
Energy, eV/cell: -120.33



The following is a PBE calculation of a relaxed structure of DyHfTcPd, from the Alexandria database.

Geometry as CIF:
```
data_DyHfTcPd
_space_group_name_H-M_alt 'P 1'
_space_group_IT_number 1
_cell_length_a 6.728
_cell_length_b 6.728
_cell_length_c 6.728
_cell_angle_alpha 90.00
_cell_angle_beta 90.00
_cell_angle_gamma 90.00
loop_
_space_group_symop_operation_xyz
'x,y,z'
loop_
_atom_site_label
_atom_site_fract_x
_atom_site_fract_y
_atom_site_fract_z
Dy1 0.000 0.000 0.000
Dy2 0.000 0.500 0.500
Dy3 0.500 0.000 0.500
Dy4 0.500 0.500 0.000
Hf1 0.000 0.000 0.500
Hf2 0.000 0.500 0.000
Hf3 0.500 0.000 0.000
Hf4 0.500 0.500 0.500
Tc1 0.250 0.250 0.750
Tc2 0.250 0.750 0.250
Tc3 0.750 0.250 0.250
Tc4 0.750 0.750 0.750
Pd1 0.250 0.250 0.250
Pd2 0.250 0.750 0.750
Pd3 0.750 0.250 0.750
Pd4 0.750 0.750 0.250
```

Properties
Total moment, μB per cell: 0.0
Energy, eV/cell: -128.21



The following is a PBE calculation of a relaxed structure of DyHfZnPd, from the Alexandria database.

Geometry as CIF:
```
data_DyHfZnPd
_space_group_name_H-M_alt 'P 1'
_space_group_IT_number 1
_cell_length_a 6.855
_cell_length_b 6.855
_cell_length_c 6.855
_cell_angle_alpha 90.00
_cell_angle_beta 90.00
_cell_angle_gamma 90.00
loop_
_space_group_symop_operation_xyz
'x,y,z'
loop_
_atom_site_label
_atom_site_fract_x
_atom_site_fract_y
_atom_site_fract_z
Dy1 0.000 0.000 0.000
Dy2 0.000 0.500 0.500
Dy3 0.500 0.000 0.500
Dy4 0.500 0.500 0.000
Hf1 0.000 0.000 0.500
Hf2 0.000 0.500 0.000
Hf3 0.500 0.000 0.000
Hf4 0.500 0.500 0.500
Zn1 0.250 0.250 0.750
Zn2 0.250 0.750 0.250
Zn3 0.750 0.250 0.250
Zn4 0.750 0.750 0.750
Pd1 0.250 0.250 0.250
Pd2 0.250 0.750 0.750
Pd3 0.750 0.250 0.750
Pd4 0.750 0.750 0.250
```

Properties
Total moment, μB per cell: 0.0
Energy, eV/cell: -90.47



Copy entry 2 word for word.
The following is a PBE calculation of a relaxed structure of DyHfTcPd, from the Alexandria database.

Geometry as CIF:
```
data_DyHfTcPd
_space_group_name_H-M_alt 'P 1'
_space_group_IT_number 1
_cell_length_a 6.728
_cell_length_b 6.728
_cell_length_c 6.728
_cell_angle_alpha 90.00
_cell_angle_beta 90.00
_cell_angle_gamma 90.00
loop_
_space_group_symop_operation_xyz
'x,y,z'
loop_
_atom_site_label
_atom_site_fract_x
_atom_site_fract_y
_atom_site_fract_z
Dy1 0.000 0.000 0.000
Dy2 0.000 0.500 0.500
Dy3 0.500 0.000 0.500
Dy4 0.500 0.500 0.000
Hf1 0.000 0.000 0.500
Hf2 0.000 0.500 0.000
Hf3 0.500 0.000 0.000
Hf4 0.500 0.500 0.500
Tc1 0.250 0.250 0.750
Tc2 0.250 0.750 0.250
Tc3 0.750 0.250 0.250
Tc4 0.750 0.750 0.750
Pd1 0.250 0.250 0.250
Pd2 0.250 0.750 0.750
Pd3 0.750 0.250 0.750
Pd4 0.750 0.750 0.250
```

Properties
Total moment, μB per cell: 0.0
Energy, eV/cell: -128.21